Entry 1:
LiHf2OsRh: optimized geometry, PBE-GGA.

Lattice parameters (Å, degrees): 4.6162 4.6162 3.9467 90.00 90.00 90.00
Space group P4/mmm (No. 123)
Asymmetric unit:
Li: 0.0000 0.0000 0.0000
Hf: 0.0000 0.5000 0.0000
Os: 0.0000 0.0000 0.5000
Rh: 0.5000 0.5000 0.5000

Properties
The formation energy is 13.2 kcal/mol of atoms. The crystal system is tetragonal. The value obtained for the mass density is 13.0 g/cm³. The calculation puts the total magnetization at 0.000 μB per formula unit.

=====

Entry 2:
LiHfSc2Os: optimized geometry, PBE-GGA.

Lattice parameters (Å, degrees): 4.9068 4.9068 4.7635 90.00 90.00 90.00
Space group P4/mmm (No. 123)
Asymmetric unit:
Li: 0.0000 0.0000 0.0000
Hf: 0.5000 0.5000 0.0000
Sc: 0.0000 0.5000 0.5000
Os: 0.0000 0.0000 0.5000

Properties
The formation energy is 12.5 kcal/mol of atoms. The crystal system is tetragonal. The value obtained for the mass density is 6.7 g/cm³. The calculation puts the total magnetization at 0.000 μB per formula unit.

=====

Entry 3:
LiHfThOs: optimized geometry, PBE-GGA.

Lattice parameters (Å, degrees): 6.8875 6.8875 6.8875 90.00 90.00 90.00
Space group F-43m (No. 216)
Asymmetric unit:
Li: 0.0000 0.0000 0.0000
Hf: 0.2500 0.2500 0.2500
Th: 0.2500 0.2500 0.7500
Os: 0.0000 0.0000 0.5000

Properties
The formation energy is -3.1 kcal/mol of atoms. The crystal system is cubic. The value obtained for the mass density is 12.4 g/cm³. The calculation puts the total magnetization at 0.000 μB per formula unit.

=====

Entry 4:
Li2HfTiOs: optimized geometry, PBE-GGA.

Lattice parameters (Å, degrees): 4.3683 4.3683 4.5691 90.00 90.00 90.00
Space group P4/mmm (No. 123)
Asymmetric unit:
Li: 0.0000 0.5000 0.0000
Hf: 0.0000 0.0000 0.5000
Ti: 0.5000 0.5000 0.0000
Os: 0.5000 0.5000 0.5000

Properties
The formation energy is 18.8 kcal/mol of atoms. The crystal system is tetragonal. The value obtained for the mass density is 8.2 g/cm³. The calculation puts the total magnetization at 0.000 μB per formula unit.

=====

Entry 5:
LiTmHfOs: optimized geometry, PBE-GGA.

Lattice parameters (Å, degrees): 6.6720 6.6720 6.6720 90.00 90.00 90.00
Space group F-43m (No. 216)
Asymmetric unit:
Li: 0.0000 0.0000 0.0000
Tm: 0.2500 0.2500 0.7500
Hf: 0.2500 0.2500 0.2500
Os: 0.0000 0.0000 0.5000

Properties
The formation energy is -7.3 kcal/mol of atoms. The crystal system is cubic. The value obtained for the mass density is 12.2 g/cm³. The calculation puts the total magnetization at 0.000 μB per formula unit.

=====

Entry 6:
LiHfVOs2: optimized geometry, PBE-GGA.

Lattice parameters (Å, degrees): 4.8316 4.8316 4.6992 90.00 90.00 90.00
Space group P4/mmm (No. 123)
Asymmetric unit:
Li: 0.0000 0.0000 0.0000
Hf: 0.5000 0.5000 0.5000
V: 0.5000 0.5000 0.0000
Os: 0.0000 0.5000 0.5000

Properties
The formation energy is 43.5 kcal/mol of atoms. The crystal system is tetragonal. The value obtained for the mass density is 9.3 g/cm³. The calculation puts the total magnetization at 1.121 μB per formula unit.

=====

Entry 7:
Li2HfOsW: optimized geometry, PBE-GGA.

Lattice parameters (Å, degrees): 4.3978 4.3978 4.7803 90.00 90.00 90.00
Space group P4/mmm (No. 123)
Asymmetric unit:
Li: 0.0000 0.5000 0.0000
Hf: 0.0000 0.0000 0.5000
Os: 0.5000 0.5000 0.0000
W: 0.5000 0.5000 0.5000

Properties
The formation energy is 22.9 kcal/mol of atoms. The crystal system is tetragonal. The value obtained for the mass density is 10.2 g/cm³. The calculation puts the total magnetization at 0.000 μB per formula unit.

=====

Entry 8:
LiHf3P: optimized geometry, PBE-GGA.

Lattice parameters (Å, degrees): 4.8529 4.8529 4.8529 90.00 90.00 90.00
Space group Pm-3m (No. 221)
Asymmetric unit:
Li: 0.0000 0.0000 0.0000
Hf: 0.0000 0.5000 0.5000
P: 0.5000 0.5000 0.5000

Properties
The formation energy is -0.9 kcal/mol of atoms. For the offset from the most stable computed form, the calculation gives 0 meV/atom. The crystal system is cubic. The value obtained for the mass density is 8.3 g/cm³. The calculation puts the total magnetization at 0.000 μB per formula unit.

=====

Entry 9:
LiHfP3: optimized geometry, PBE-GGA.

Lattice parameters (Å, degrees): 4.9852 4.9852 4.9852 90.00 90.00 90.00
Space group Pm-3m (No. 221)
Asymmetric unit:
Li: 0.0000 0.0000 0.0000
Hf: 0.5000 0.5000 0.5000
P: 0.0000 0.5000 0.5000

Properties
The formation energy is 1.5 kcal/mol of atoms. For the offset from the most stable computed form, the calculation gives 0 meV/atom. The crystal system is cubic. The value obtained for the mass density is 3.7 g/cm³. The calculation puts the total magnetization at 0.000 μB per formula unit.

=====

Entry 10:
LiHfP2: optimized geometry, PBE-GGA.

Lattice parameters (Å, degrees): 6.7250 6.7250 5.9608 90.00 90.00 90.00
Space group I-42d (No. 122)
Asymmetric unit:
Li: 0.0000 0.0000 0.0000
Hf: 0.0000 0.0000 0.5000
P: 0.2352 0.2500 0.1250

Properties
The formation energy is -11.6 kcal/mol of atoms. For the offset from the most stable computed form, the calculation gives 294 meV/atom. The crystal system is tetragonal. The value obtained for the mass density is 6.1 g/cm³. The calculation puts the total magnetization at 0.000 μB per formula unit.

=====

Entry 11:
LiHf2P2: optimized geometry, PBE-GGA.

Lattice parameters (Å, degrees): 6.9407 6.9407 3.4703 90.00 90.00 90.00
Space group P4/mbm (No. 127)
Asymmetric unit:
Li: 0.0000 0.0000 0.0000
Hf: 0.1525 0.3475 0.5000
P: 0.1469 0.6469 0.0000

Properties
The formation energy is -22.1 kcal/mol of atoms. The crystal system is tetragonal. The value obtained for the mass density is 8.5 g/cm³. The calculation puts the total magnetization at 0.000 μB per formula unit.

=====

Entry 12:
Li2HfP2: optimized geometry, PBE-GGA.

Lattice parameters (Å, degrees): 7.2488 7.2488 2.9495 90.00 90.00 90.00
Space group P4/mbm (No. 127)
Asymmetric unit:
Li: 0.1215 0.3785 0.0000
Hf: 0.0000 0.0000 0.5000
P: 0.1792 0.6792 0.5000

Properties
The formation energy is -12.2 kcal/mol of atoms. The crystal system is tetragonal. The value obtained for the mass density is 5.4 g/cm³. The calculation puts the total magnetization at 0.000 μB per formula unit.